(1)
Material: Ni3PdN
Method: DFT, PBE
State: optimized geometry

The structure in extended XYZ format:
```
10
Lattice="4.086 0.000 0.000 0.000 4.086 0.000 2.043 2.043 9.226" Properties=species:S:1:pos:R:3 pbc="T T T"
Pd 0.000 0.000 0.000
Pd 2.043 4.086 4.613
Ni 2.043 3.049 6.944
Ni 4.086 4.086 6.328
Ni 1.006 4.086 2.283
Ni 2.043 2.043 2.898
Ni 3.080 4.086 2.283
Ni 2.043 5.122 6.944
N 4.086 2.043 2.566
N 4.086 2.043 6.660
```

Values from the calculation:
Formation energy without anion corrections, eV/atom: 1.1344
Density of states at the Fermi level, states/eV/cell: 14.294

(2)
Material: PWS2N
Method: DFT, PBE
State: optimized geometry

The structure in extended XYZ format:
```
5
Lattice="4.662 0.000 0.000 0.000 4.662 0.000 0.000 0.000 4.787" Properties=species:S:1:pos:R:3 pbc="T T T"
W 0.000 0.000 0.000
S 0.000 2.331 0.000
S 2.331 0.000 0.000
P 0.000 0.000 2.393
N 2.331 2.331 2.393
```

Values from the calculation:
Polymorph energy (0 for the lowest one), eV/atom: 0.643
Formation energy without anion corrections, eV/atom: 1.2181
Density of states at the Fermi level, states/eV/cell: 2.629